Entry 1:
Density functional theory data (PBE) for an optimized crystal structure of RbMnNb2.

Cell lengths 6.666, 6.666, 6.666 Å; angles 90.00, 90.00, 90.00 degrees
Space group Fm-3m (No. 225)
Asymmetric unit:
Rb: 0.000 0.000 0.000
Mn: 0.000 0.000 0.500
Nb: 0.250 0.250 0.250

Results
For the formation energy, the calculation gives 1645 meV per atom. The crystal system is cubic. The total magnetization is 0.00 μB per cell.

---

Entry 2:
Density functional theory data (PBE) for an optimized crystal structure of RbMn3Nb.

Cell lengths 5.116, 5.116, 5.116 Å; angles 90.00, 90.00, 90.00 degrees
Space group Pm-3m (No. 221)
Asymmetric unit:
Rb: 0.000 0.000 0.000
Mn: 0.000 0.500 0.500
Nb: 0.500 0.500 0.500

Results
For the formation energy, the calculation gives 1200 meV per atom. The crystal system is cubic. The total magnetization is 9.73 μB per cell.

---

Entry 3:
Density functional theory data (PBE) for an optimized crystal structure of Rb2MnNb.

Cell lengths 13.614, 13.614, 4.254 Å; angles 90.00, 90.00, 90.00 degrees
Space group I-42d (No. 122)
Asymmetric unit:
Rb: 0.071 0.250 0.125
Mn: 0.000 0.000 0.000
Nb: 0.000 0.000 0.500

Results
For the formation energy, the calculation gives 1422 meV per atom. The crystal system is tetragonal. The total magnetization is 0.04 μB per cell.

---

Entry 4:
Density functional theory data (PBE) for an optimized crystal structure of Rb2MnNbRu.

Cell lengths 6.499, 6.499, 4.680 Å; angles 90.00, 90.00, 90.00 degrees
Space group P4/mmm (No. 123)
Asymmetric unit:
Rb: 0.000 0.500 0.000
Mn: 0.000 0.000 0.000
Nb: 0.000 0.000 0.500
Ru: 0.500 0.500 0.500

Results
For the formation energy, the calculation gives 2003 meV per atom. The crystal system is tetragonal. The total magnetization is 2.39 μB per cell.